1.
First-principles (PBE-GGA) data for a relaxed structure of BaSrPm, as listed in Alexandria via LeMat-Bulk.

It has space group C2/m (No. 12), with a = 11.058 Å, b = 6.389 Å, c = 8.001 Å, α = 90.00°, β = 90.10° and γ = 90.00°. The asymmetric unit holds Ba at (0.000, 0.000, 0.236), Sr at (0.167, 0.500, 0.590) and Pm at (0.166, 0.500, 0.070).

Its excess energy over the best structure of this formula in the dataset is 22.1 meV per atom. The energy of formation from the pure elements comes out at 0.191 eV/atom.

=====

2.
First-principles (PBE-GGA) data for a relaxed structure of BaSrPm, as listed in Alexandria via LeMat-Bulk.

It has space group I4mm (No. 107), with a = 4.028 Å, b = 4.028 Å, c = 17.637 Å, α = 90.00°, β = 90.00° and γ = 90.00°. The asymmetric unit holds Ba at (0.000, 0.000, 0.000), Sr at (0.000, 0.000, 0.689) and Pm at (0.000, 0.000, 0.342).

Its excess energy over the best structure of this formula in the dataset is 0.9 meV per atom. The energy of formation from the pure elements comes out at 0.170 eV/atom.

=====

3.
First-principles (PBE-GGA) data for a relaxed structure of Ba2SrPm, as listed in Alexandria via LeMat-Bulk.

It has space group R3m (No. 160, hexagonal axes), with a = 4.1500 Å, b = 4.1500 Å, c = 40.6693 Å, α = 90.00°, β = 90.00° and γ = 120.00°. The asymmetric unit holds Ba at (0.0000, 0.0000, 0.0000), Ba at (0.0000, 0.0000, 0.1541), Sr at (0.0000, 0.0000, 0.5774) and Pm at (0.0000, 0.0000, 0.7436).

Its excess energy over the best structure of this formula in the dataset is 0.0 meV per atom. The energy of formation from the pure elements comes out at 0.142 eV/atom.

=====

4.
First-principles (PBE-GGA) data for a relaxed structure of Ba2SrPm, as listed in Alexandria via LeMat-Bulk.

It has space group P4/mmm (No. 123), with a = 4.142 Å, b = 4.142 Å, c = 11.921 Å, α = 90.00°, β = 90.00° and γ = 90.00°. The asymmetric unit holds Ba at (0.000, 0.000, 0.226), Sr at (0.500, 0.500, 0.500) and Pm at (0.500, 0.500, 0.000).

Its excess energy over the best structure of this formula in the dataset is 1.3 meV per atom. The energy of formation from the pure elements comes out at 0.143 eV/atom.

=====

5.
First-principles (PBE-GGA) data for a relaxed structure of BaSr2Pm, as listed in Alexandria via LeMat-Bulk.

It has space group P4/mmm (No. 123), with a = 6.551 Å, b = 6.551 Å, c = 4.535 Å, α = 90.00°, β = 90.00° and γ = 90.00°. The asymmetric unit holds Ba at (0.000, 0.000, 0.000), Sr at (0.000, 0.500, 0.500) and Pm at (0.500, 0.500, 0.000).

Its excess energy over the best structure of this formula in the dataset is 47.3 meV per atom. The energy of formation from the pure elements comes out at 0.178 eV/atom.

=====

6.
First-principles (PBE-GGA) data for a relaxed structure of BaSrPm, as listed in Alexandria via LeMat-Bulk.

It has space group P3m1 (No. 156), with a = 4.0399 Å, b = 4.0399 Å, c = 10.0097 Å, α = 90.00°, β = 90.00° and γ = 120.00°. The asymmetric unit holds Ba at (0.0000, 0.0000, 0.0000), Sr at (0.3333, 0.6667, 0.6331) and Pm at (0.6667, 0.3333, 0.3209).

Its excess energy over the best structure of this formula in the dataset is 0.0 meV per atom. The energy of formation from the pure elements comes out at 0.169 eV/atom.

=====

7.
First-principles (PBE-GGA) data for a relaxed structure of BaSr2Pm, as listed in Alexandria via LeMat-Bulk.

It has space group Fm-3m (No. 225), with a = 9.215 Å, b = 9.215 Å, c = 9.215 Å, α = 90.00°, β = 90.00° and γ = 90.00°. The asymmetric unit holds Ba at (0.000, 0.000, 0.000), Sr at (0.250, 0.250, 0.250) and Pm at (0.000, 0.000, 0.500).

Its excess energy over the best structure of this formula in the dataset is 44.2 meV per atom. The energy of formation from the pure elements comes out at 0.174 eV/atom.

=====

8.
First-principles (PBE-GGA) data for a relaxed structure of BaSr2Pm, as listed in Alexandria via LeMat-Bulk.

It has space group P4/mmm (No. 123), with a = 4.394 Å, b = 4.394 Å, c = 10.334 Å, α = 90.00°, β = 90.00° and γ = 90.00°. The asymmetric unit holds Ba at (0.000, 0.000, 0.000), Sr at (0.500, 0.500, 0.285) and Pm at (0.000, 0.000, 0.500).

Its excess energy over the best structure of this formula in the dataset is 0.0 meV per atom. The energy of formation from the pure elements comes out at 0.130 eV/atom.

=====

9.
First-principles (PBE-GGA) data for a relaxed structure of Ba2SrPm, as listed in Alexandria via LeMat-Bulk.

It has space group P4/mmm (No. 123), with a = 6.628 Å, b = 6.628 Å, c = 4.609 Å, α = 90.00°, β = 90.00° and γ = 90.00°. The asymmetric unit holds Ba at (0.000, 0.500, 0.000), Sr at (0.000, 0.000, 0.500) and Pm at (0.500, 0.500, 0.500).

Its excess energy over the best structure of this formula in the dataset is 38.1 meV per atom. The energy of formation from the pure elements comes out at 0.180 eV/atom.

=====

10.
First-principles (PBE-GGA) data for a relaxed structure of BaSr2Pm, as listed in Alexandria via LeMat-Bulk.

It has space group R-3m (No. 166, hexagonal axes), with a = 3.9647 Å, b = 3.9647 Å, c = 43.4894 Å, α = 90.00°, β = 90.00° and γ = 120.00°. The asymmetric unit holds Ba at (0.0000, 0.0000, 0.0000), Sr at (0.0000, 0.0000, 0.4166) and Pm at (0.0000, 0.0000, 0.5000).

Its excess energy over the best structure of this formula in the dataset is 178.6 meV per atom. The energy of formation from the pure elements comes out at 0.309 eV/atom.

=====

11.
First-principles (PBE-GGA) data for a relaxed structure of BaSr2Pm, as listed in Alexandria via LeMat-Bulk.

It has space group R3m (No. 160, hexagonal axes), with a = 4.0778 Å, b = 4.0778 Å, c = 40.6790 Å, α = 90.00°, β = 90.00° and γ = 120.00°. The asymmetric unit holds Ba at (0.0000, 0.0000, 0.0000), Sr at (0.0000, 0.0000, 0.2442), Sr at (0.0000, 0.0000, 0.4229) and Pm at (0.0000, 0.0000, 0.8336).

Its excess energy over the best structure of this formula in the dataset is 11.5 meV per atom. The energy of formation from the pure elements comes out at 0.142 eV/atom.

=====

12.
First-principles (PBE-GGA) data for a relaxed structure of Ba2Sr3PmTe6, as listed in Alexandria via LeMat-Bulk.

It has space group C2/m (No. 12), with a = 20.794 Å, b = 4.756 Å, c = 9.609 Å, α = 90.00°, β = 103.13° and γ = 90.00°. The asymmetric unit holds Ba at (0.165, 0.000, 0.333), Sr at (0.000, 0.500, 0.500), Sr at (0.168, 0.000, 0.835), Pm at (0.000, 0.500, 0.000), Te at (0.004, 0.000, 0.766), Te at (0.161, 0.500, 0.071) and Te at (0.163, 0.500, 0.593).

The calculation puts the formation energy without anion corrections at -1.666 eV per atom.

=====

Number 1: theoretical density 4.3 g cm⁻³. Number 2: theoretical density 4.3 g cm⁻³. Number 3: theoretical density 4.2 g cm⁻³. Number 4: theoretical density 4.1 g cm⁻³. Number 5: theoretical density 3.9 g cm⁻³. Number 6: theoretical density 4.3 g cm⁻³. Number 7: theoretical density 3.9 g cm⁻³. Number 8: theoretical density 3.8 g cm⁻³. Number 9: theoretical density 4.2 g cm⁻³. Number 10: theoretical density 3.9 g cm⁻³. Number 11: theoretical density 3.9 g cm⁻³. Number 12: theoretical density 5.2 g cm⁻³.